(P)
## K2ReF (GGA-PBE)

Data for K2ReF after structural relaxation.

Computed properties:
N(E_F) (states/eV per atom): 2.29
Calculated density (Mg/m³): 3.720

Lattice parameters (Å, degrees): 7.969 7.969 7.969 90.00 90.00 90.00
Sites, in units of the cell vectors:
K: 0.250 0.250 0.250
K: 0.250 0.250 0.750
K: 0.250 0.750 0.250
K: 0.250 0.750 0.750
K: 0.750 0.250 0.250
K: 0.750 0.250 0.750
K: 0.750 0.750 0.250
K: 0.750 0.750 0.750
Re: 0.000 0.000 0.000
Re: 0.000 0.500 0.500
Re: 0.500 0.000 0.500
Re: 0.500 0.500 0.000
F: 0.000 0.000 0.500
F: 0.000 0.500 0.000
F: 0.500 0.000 0.000
F: 0.500 0.500 0.500

---

(Q)
## K2ReF (GGA-PBE)

Data for K2ReF after structural relaxation.

Computed properties:
N(E_F) (states/eV per atom): 0.81
Calculated density (Mg/m³): 3.598

Lattice parameters (Å, degrees): 7.728 7.728 8.760 90.00 90.00 90.00
Sites, in units of the cell vectors:
K: 0.151 0.250 0.125
K: 0.250 0.651 0.375
K: 0.250 0.849 0.875
K: 0.349 0.250 0.625
K: 0.651 0.750 0.625
K: 0.750 0.151 0.875
K: 0.750 0.349 0.375
K: 0.849 0.750 0.125
Re: 0.000 0.000 0.500
Re: 0.000 0.500 0.750
Re: 0.500 0.000 0.250
Re: 0.500 0.500 0.000
F: 0.000 0.000 0.000
F: 0.000 0.500 0.250
F: 0.500 0.000 0.750
F: 0.500 0.500 0.500

---

Which of them is most stable? Easy: (Q).

---

(P)
## KReF2 (GGA-PBE)

Data for KReF2 after structural relaxation.

Computed properties:
N(E_F) (states/eV per atom): 0.36
Calculated density (Mg/m³): 5.099

Lattice parameters (Å, degrees): 6.541 6.541 8.016 90.00 90.00 90.00
Sites, in units of the cell vectors:
K: 0.000 0.000 0.000
K: 0.000 0.500 0.250
K: 0.500 0.000 0.750
K: 0.500 0.500 0.500
Re: 0.000 0.000 0.500
Re: 0.000 0.500 0.750
Re: 0.500 0.000 0.250
Re: 0.500 0.500 0.000
F: 0.213 0.250 0.625
F: 0.250 0.713 0.875
F: 0.250 0.787 0.375
F: 0.287 0.250 0.125
F: 0.713 0.750 0.125
F: 0.750 0.213 0.375
F: 0.750 0.287 0.875
F: 0.787 0.750 0.625

---

(Q)
## KReF2 (GGA-PBE)

Data for KReF2 after structural relaxation.

Computed properties:
N(E_F) (states/eV per atom): 0.35
Calculated density (Mg/m³): 5.801

Lattice parameters (Å, degrees): 6.705 6.705 6.705 90.00 90.00 90.00
Sites, in units of the cell vectors:
K: 0.000 0.000 0.000
K: 0.000 0.500 0.500
K: 0.500 0.000 0.500
K: 0.500 0.500 0.000
Re: 0.000 0.000 0.500
Re: 0.000 0.500 0.000
Re: 0.500 0.000 0.000
Re: 0.500 0.500 0.500
F: 0.250 0.250 0.250
F: 0.250 0.250 0.750
F: 0.250 0.750 0.250
F: 0.250 0.750 0.750
F: 0.750 0.250 0.250
F: 0.750 0.250 0.750
F: 0.750 0.750 0.250
F: 0.750 0.750 0.750

---

Which of them is most stable? Easy: (P).

---

(P)
## KRe3F (GGA-PBE)

Data for KRe3F after structural relaxation.

Computed properties:
N(E_F) (states/eV per atom): 1.35
Calculated density (Mg/m³): 11.719

Lattice parameters (Å, degrees): 4.438 4.438 4.438 90.00 90.00 90.00
Sites, in units of the cell vectors:
K: 0.000 0.000 0.000
Re: 0.000 0.500 0.500
Re: 0.500 0.000 0.500
Re: 0.500 0.500 0.000
F: 0.500 0.500 0.500

---

(Q)
## KRe3F (GGA-PBE)

Data for KRe3F after structural relaxation.

Computed properties:
N(E_F) (states/eV per atom): 1.97
Calculated density (Mg/m³): 10.682

Lattice parameters (Å, degrees): 4.577 4.577 4.577 90.00 90.00 90.00
Sites, in units of the cell vectors:
K: 0.000 0.000 0.000
Re: 0.000 0.000 0.500
Re: 0.000 0.500 0.000
Re: 0.500 0.000 0.000
F: 0.500 0.500 0.500

---

Which of them is most stable? Easy: (P).

---

(P)
## K2RhF7 (GGA-PBE)

Data for K2RhF7 after structural relaxation.

Computed properties:
N(E_F) (states/eV per atom): 1.47
Calculated density (Mg/m³): 2.971

Lattice parameters (Å, degrees): 6.285 6.285 6.285 60.00 60.00 60.00
Sites, in units of the cell vectors:
K: 0.250 0.250 0.250
K: 0.750 0.750 0.750
Rh: 0.000 0.000 0.000
F: 0.217 0.217 0.783
F: 0.217 0.783 0.217
F: 0.217 0.783 0.783
F: 0.500 0.500 0.500
F: 0.783 0.217 0.217
F: 0.783 0.217 0.783
F: 0.783 0.783 0.217

---

(Q)
## K2RhF7 (GGA-PBE)

Data for K2RhF7 after structural relaxation.

Computed properties:
Calculated density (Mg/m³): 3.238

Lattice parameters (Å, degrees): 7.523 7.523 10.016 127.10 127.10 49.48
Sites, in units of the cell vectors:
K: 0.016 0.680 0.776
K: 0.320 0.984 0.724
K: 0.680 0.016 0.276
K: 0.984 0.320 0.224
Rh: 0.296 0.704 0.250
Rh: 0.704 0.296 0.750
F: 0.040 0.121 0.904
F: 0.121 0.040 0.404
F: 0.188 0.599 0.319
F: 0.236 0.458 0.012
F: 0.393 0.607 0.750
F: 0.401 0.812 0.181
F: 0.458 0.236 0.512
F: 0.542 0.764 0.488
F: 0.599 0.188 0.819
F: 0.607 0.393 0.250
F: 0.764 0.542 0.988
F: 0.812 0.401 0.681
F: 0.879 0.960 0.596
F: 0.960 0.879 0.096

---

Which of them is most stable? Easy: (Q).

---

(P)
## KRhF5 (GGA-PBE)

Data for KRhF5 after structural relaxation.

Computed properties:
N(E_F) (states/eV per atom): 0.19
Calculated density (Mg/m³): 3.322

Lattice parameters (Å, degrees): 6.744 6.744 7.593 124.07 124.07 71.18
Sites, in units of the cell vectors:
K: 0.029 0.971 0.750
K: 0.971 0.029 0.250
Rh: 0.500 0.500 0.000
Rh: 0.500 0.500 0.500
F: 0.257 0.258 0.258
F: 0.258 0.257 0.758
F: 0.260 0.739 0.053
F: 0.261 0.740 0.447
F: 0.413 0.587 0.750
F: 0.587 0.413 0.250
F: 0.739 0.260 0.553
F: 0.740 0.261 0.947
F: 0.742 0.743 0.242
F: 0.743 0.742 0.742

---

(Q)
## KRhF5 (GGA-PBE)

Data for KRhF5 after structural relaxation.

Computed properties:
N(E_F) (states/eV per atom): 0.51
Calculated density (Mg/m³): 2.909

Lattice parameters (Å, degrees): 4.054 7.357 9.070 90.00 90.00 90.00
Sites, in units of the cell vectors:
K: 0.000 0.000 0.000
K: 0.500 0.500 0.500
Rh: 0.000 0.000 0.500
Rh: 0.500 0.500 0.000
F: 0.000 0.000 0.289
F: 0.000 0.000 0.711
F: 0.000 0.263 0.500
F: 0.000 0.500 0.000
F: 0.000 0.737 0.500
F: 0.500 0.000 0.500
F: 0.500 0.237 0.000
F: 0.500 0.500 0.211
F: 0.500 0.500 0.789
F: 0.500 0.763 0.000

---

Which of them is most stable? Easy: (P).

---

(P)
## KRhF2 (GGA-PBE)

Data for KRhF2 after structural relaxation.

Computed properties:
N(E_F) (states/eV per atom): 0.87
Calculated density (Mg/m³): 4.948

Lattice parameters (Å, degrees): 6.228 6.228 6.228 90.00 90.00 90.00
Sites, in units of the cell vectors:
K: 0.000 0.000 0.000
K: 0.000 0.500 0.500
K: 0.500 0.000 0.500
K: 0.500 0.500 0.000
Rh: 0.000 0.000 0.500
Rh: 0.000 0.500 0.000
Rh: 0.500 0.000 0.000
Rh: 0.500 0.500 0.500
F: 0.250 0.250 0.250
F: 0.250 0.250 0.750
F: 0.250 0.750 0.250
F: 0.250 0.750 0.750
F: 0.750 0.250 0.250
F: 0.750 0.250 0.750
F: 0.750 0.750 0.250
F: 0.750 0.750 0.750

---

(Q)
## KRhF2 (GGA-PBE)

Data for KRhF2 after structural relaxation.

Computed properties:
N(E_F) (states/eV per atom): 1.10
Calculated density (Mg/m³): 4.630

Lattice parameters (Å, degrees): 3.160 3.160 22.397 90.00 90.00 120.00
Sites, in units of the cell vectors:
K: 0.000 0.000 0.000
K: 0.333 0.667 0.667
K: 0.667 0.333 0.333
Rh: 0.000 0.000 0.500
Rh: 0.333 0.667 0.167
Rh: 0.667 0.333 0.833
F: 0.000 0.000 0.410
F: 0.000 0.000 0.590
F: 0.333 0.667 0.077
F: 0.333 0.667 0.256
F: 0.667 0.333 0.744
F: 0.667 0.333 0.923

---

Which of them is most stable? Easy: (Q).